The following is a PBE-GGA calculation of a geometry-optimized PrHgRh structure, from the Alexandria database.

Cell and atoms, written as POSCAR:
```
PrHgRh
1.0
3.738 0.000 0.000
0.000 4.703 0.000
0.000 -2.351 4.073
Hg Rh Pr
1 1 1
direct
0.165 0.000 0.000
0.169 0.333 0.667
0.666 0.667 0.333
```

Calculated values
* volume: 23.87 Å³/atom
* Fermi-level density of states: 2.49 states/eV per cell
* spin magnetization: 0.00 μB per cell
* ΔH_f (0 K): -0.3950 eV per atom

The following is a PBE-GGA calculation of a geometry-optimized PrHgRh structure, from the Alexandria database.

Cell and atoms, written as POSCAR:
```
PrHgRh
1.0
3.730 0.000 0.000
0.000 3.730 0.000
-1.865 -1.865 4.909
Hg Pr Rh
1 1 1
direct
0.627 0.627 0.254
0.937 0.937 0.875
0.286 0.286 0.572
```

Calculated values
* volume: 22.77 Å³/atom
* Fermi-level density of states: 2.32 states/eV per cell
* spin magnetization: 0.00 μB per cell
* ΔH_f (0 K): -0.3885 eV per atom

The following is a PBE-GGA calculation of a geometry-optimized Pr4HgRh2 structure, from the Alexandria database.

Cell and atoms, written as POSCAR:
```
Pr4HgRh2
1.0
-5.265 -0.208 5.948
-1.259 -6.272 -4.715
7.454 -0.344 2.734
Pr Rh Hg
8 4 2
direct
0.509 0.114 0.263
0.241 0.254 0.855
0.605 0.754 0.491
0.737 0.246 0.851
0.601 0.746 0.987
0.149 0.886 0.395
0.013 0.614 0.759
0.145 0.386 0.399
0.375 0.878 0.753
0.503 0.378 0.625
0.247 0.622 0.125
0.875 0.122 0.497
0.000 0.000 0.000
0.750 0.500 0.250
```

Calculated values
* volume: 27.57 Å³/atom
* Fermi-level density of states: 13.80 states/eV per cell
* spin magnetization: 0.00 μB per cell
* ΔH_f (0 K): -0.4817 eV per atom
* relative energy among the computed polymorphs: 0.0 meV/atom

The following is a PBE-GGA calculation of a geometry-optimized Pr6Hg5Rh structure, from the Alexandria database.

Cell and atoms, written as POSCAR:
```
Pr6Hg5Rh
1.0
5.313 -0.343 0.876
-0.021 7.085 2.906
1.237 0.365 9.213
Rh Pr Hg
1 6 5
direct
0.000 0.000 0.000
0.844 0.609 0.312
0.156 0.921 0.688
0.844 0.079 0.312
0.500 0.770 0.000
0.156 0.391 0.688
0.500 0.230 0.000
0.668 0.667 0.666
0.332 0.333 0.334
0.316 0.816 0.368
0.684 0.184 0.632
0.000 0.500 0.000
```

Calculated values
* volume: 27.69 Å³/atom
* Fermi-level density of states: 11.29 states/eV per cell
* spin magnetization: 0.00 μB per cell
* ΔH_f (0 K): -0.4937 eV per atom

The following is a PBE-GGA calculation of a geometry-optimized Pr5HgRh4 structure, from the Alexandria database.

Cell and atoms, written as POSCAR:
```
Pr5HgRh4
1.0
3.620 0.000 0.000
0.000 3.620 0.000
0.000 0.000 18.315
Rh Pr Hg
4 5 1
direct
0.000 0.000 0.791
0.000 0.000 0.597
0.000 0.000 0.403
0.000 0.000 0.209
0.500 0.500 0.691
0.500 0.500 0.309
0.500 0.500 0.881
0.500 0.500 0.500
0.500 0.500 0.119
0.000 0.000 0.000
```

Calculated values
* volume: 24.01 Å³/atom
* Fermi-level density of states: 5.94 states/eV per cell
* spin magnetization: 0.00 μB per cell
* ΔH_f (0 K): -0.5762 eV per atom

The following is a PBE-GGA calculation of a geometry-optimized Pr6HgRh3 structure, from the Alexandria database.

Cell and atoms, written as POSCAR:
```
Pr6HgRh3
1.0
7.534 0.000 0.000
0.000 9.071 -0.144
0.000 -2.165 8.810
Pr Rh Hg
12 6 2
direct
0.239 0.472 0.906
0.094 0.776 0.224
0.160 0.364 0.300
0.739 0.528 0.094
0.594 0.224 0.776
0.739 0.906 0.472
0.778 0.985 0.015
0.160 0.700 0.636
0.660 0.636 0.700
0.239 0.094 0.528
0.278 0.015 0.985
0.660 0.300 0.364
0.467 0.300 0.082
0.387 0.401 0.599
0.967 0.700 0.918
0.887 0.599 0.401
0.467 0.918 0.700
0.967 0.082 0.300
0.495 0.821 0.179
0.995 0.179 0.821
```

Calculated values
* volume: 29.98 Å³/atom
* Fermi-level density of states: 18.47 states/eV per cell
* spin magnetization: 0.00 μB per cell
* ΔH_f (0 K): -0.4222 eV per atom
* relative energy among the computed polymorphs: 83.5 meV/atom

The following is a PBE-GGA calculation of a geometry-optimized Pr3HgRh structure, from the Alexandria database.

Cell and atoms, written as POSCAR:
```
Pr3HgRh
1.0
-0.151 -4.891 -2.561
5.304 -0.840 1.292
-1.533 -2.424 4.719
Rh Hg Pr
1 1 3
direct
0.000 0.000 0.000
0.500 0.500 0.500
0.500 0.000 0.000
0.000 0.500 0.000
0.000 0.000 0.500
```

Calculated values
* volume: 33.69 Å³/atom
* Fermi-level density of states: 4.85 states/eV per cell
* spin magnetization: 0.00 μB per cell
* ΔH_f (0 K): -0.2327 eV per atom
* relative energy among the computed polymorphs: 241.7 meV/atom

The following is a PBE-GGA calculation of a geometry-optimized Pr3SiHg2Rh3 structure, from the Alexandria database.

Cell and atoms, written as POSCAR:
```
Pr3SiHg2Rh3
1.0
3.714 0.000 0.000
0.000 7.876 0.000
0.000 -3.938 6.820
Rh Pr Si Hg
3 3 1 2
direct
0.500 0.787 0.000
0.500 0.213 0.213
0.500 0.000 0.787
0.000 0.624 0.624
0.000 0.000 0.376
0.000 0.376 0.000
0.000 0.000 0.000
0.500 0.667 0.333
0.500 0.333 0.667
```

Calculated values
* volume: 22.17 Å³/atom
* Fermi-level density of states: 5.55 states/eV per cell
* uncorrected formation energy: -0.5890 eV/atom
* spin magnetization: 0.00 μB per cell

The following is a PBE-GGA calculation of a geometry-optimized Pr2Sn3HgRh4 structure, from the Alexandria database.

Cell and atoms, written as POSCAR:
```
Pr2Sn3HgRh4
1.0
4.445 0.000 0.000
0.000 4.445 0.000
0.000 0.000 11.106
Sn Pr Rh Hg
3 2 4 1
direct
0.000 0.000 0.500
0.500 0.000 0.873
0.000 0.500 0.127
0.500 0.000 0.248
0.000 0.500 0.752
0.000 0.500 0.359
0.500 0.000 0.641
0.500 0.500 0.000
0.000 0.000 0.000
0.500 0.500 0.500
```

Calculated values
* volume: 21.95 Å³/atom
* Fermi-level density of states: 6.98 states/eV per cell
* spin magnetization: 0.00 μB per cell
* ΔH_f (0 K): -0.6035 eV per atom

The following is a PBE-GGA calculation of a geometry-optimized SrPrHgRh structure, from the Alexandria database.

Cell and atoms, written as POSCAR:
```
SrPrHgRh
1.0
5.297 0.000 0.000
2.648 4.587 0.000
2.648 1.529 4.325
Rh Hg Pr Sr
1 1 1 1
direct
0.250 0.250 0.250
0.750 0.750 0.750
0.500 0.500 0.500
0.000 0.000 0.000
```

Calculated values
* volume: 26.27 Å³/atom
* Fermi-level density of states: 4.26 states/eV per cell
* spin magnetization: 0.00 μB per cell
* ΔH_f (0 K): -0.3737 eV per atom

The following is a PBE-GGA calculation of a geometry-optimized TbPrHgRh structure, from the Alexandria database.

Cell and atoms, written as POSCAR:
```
TbPrHgRh
1.0
-2.824 1.474 4.070
-2.440 -3.539 2.870
1.644 -1.022 4.792
Pr Tb Hg Rh
1 1 1 1
direct
0.000 0.000 0.000
0.500 0.500 0.500
0.250 0.250 0.250
0.750 0.750 0.750
```

Calculated values
* volume: 24.40 Å³/atom
* Fermi-level density of states: 2.42 states/eV per cell
* spin magnetization: 0.00 μB per cell
* ΔH_f (0 K): -0.5349 eV per atom

The following is a PBE-GGA calculation of a geometry-optimized Pr4TlHg2Rh structure, from the Alexandria database.

Cell and atoms, written as POSCAR:
```
Pr4TlHg2Rh
1.0
-5.205 -0.979 -1.164
-3.105 -2.707 3.528
-5.018 6.249 4.547
Pr Hg Tl Rh
4 2 1 1
direct
0.613 0.613 0.162
0.387 0.387 0.838
0.133 0.133 0.601
0.867 0.867 0.399
0.260 0.260 0.219
0.740 0.740 0.781
0.000 0.000 0.000
0.500 0.500 0.500
```

Calculated values
* volume: 27.59 Å³/atom
* Fermi-level density of states: 7.23 states/eV per cell
* spin magnetization: 0.00 μB per cell
* ΔH_f (0 K): -0.4803 eV per atom

The following is a PBE-GGA calculation of a geometry-optimized PrTmHgRh structure, from the Alexandria database.

Cell and atoms, written as POSCAR:
```
PrTmHgRh
1.0
5.128 0.000 0.000
2.564 4.441 0.000
2.564 1.480 4.187
Pr Hg Tm Rh
1 1 1 1
direct
0.750 0.750 0.750
0.000 0.000 0.000
0.250 0.250 0.250
0.500 0.500 0.500
```

Calculated values
* volume: 23.84 Å³/atom
* Fermi-level density of states: 2.66 states/eV per cell
* spin magnetization: 0.00 μB per cell
* ΔH_f (0 K): -0.5471 eV per atom

The following is a PBE-GGA calculation of a geometry-optimized Pr3ZnHg2Rh3 structure, from the Alexandria database.

Cell and atoms, written as POSCAR:
```
Pr3ZnHg2Rh3
1.0
3.873 0.000 0.000
0.000 7.731 0.000
0.000 -3.866 6.695
Pr Hg Rh Zn
3 2 3 1
direct
0.000 0.367 0.000
0.000 0.000 0.367
0.000 0.633 0.633
0.500 0.667 0.333
0.500 0.333 0.667
0.500 0.228 0.228
0.500 0.772 0.000
0.500 0.000 0.772
0.000 0.000 0.000
```

Calculated values
* volume: 22.27 Å³/atom
* Fermi-level density of states: 6.09 states/eV per cell
* spin magnetization: 0.00 μB per cell
* ΔH_f (0 K): -0.4572 eV per atom

The following is a PBE-GGA calculation of a geometry-optimized Pr2HgRu structure, from the Alexandria database.

Cell and atoms, written as POSCAR:
```
Pr2HgRu
1.0
-1.872 2.704 -2.555
-2.473 -1.387 -3.051
-7.585 0.755 2.962
Hg Ru Pr
1 1 2
direct
0.501 0.501 0.497
0.666 0.666 0.003
0.065 0.065 0.804
0.268 0.268 0.196
```

Calculated values
* volume: 29.35 Å³/atom
* Fermi-level density of states: 1.74 states/eV per cell
* spin magnetization: 0.00 μB per cell
* ΔH_f (0 K): -0.2048 eV per atom
* relative energy among the computed polymorphs: 85.5 meV/atom

The following is a PBE-GGA calculation of a geometry-optimized Pr2HgRu structure, from the Alexandria database.

Cell and atoms, written as POSCAR:
```
Pr2HgRu
1.0
5.233 0.000 0.000
2.616 4.532 0.000
2.616 1.511 4.272
Pr Ru Hg
2 1 1
direct
0.250 0.250 0.250
0.750 0.750 0.750
0.500 0.500 0.500
0.000 0.000 0.000
```

Calculated values
* volume: 25.33 Å³/atom
* Fermi-level density of states: 3.48 states/eV per cell
* spin magnetization: 0.00 μB per cell
* ΔH_f (0 K): -0.2138 eV per atom
* relative energy among the computed polymorphs: 76.4 meV/atom

The following is a PBE-GGA calculation of a geometry-optimized Pr7HgRu2 structure, from the Alexandria database.

Cell and atoms, written as POSCAR:
```
Pr7HgRu2
1.0
-4.049 3.381 -0.814
-5.431 -6.403 0.420
1.412 3.500 7.511
Pr Hg Ru
7 1 2
direct
0.000 0.716 0.284
0.500 0.054 0.312
0.000 0.284 0.716
0.500 0.312 0.054
0.500 0.688 0.946
0.500 0.500 0.500
0.500 0.946 0.688
0.000 0.000 0.000
0.500 0.698 0.302
0.500 0.302 0.698
```

Calculated values
* volume: 34.87 Å³/atom
* Fermi-level density of states: 12.35 states/eV per cell
* spin magnetization: 0.00 μB per cell
* ΔH_f (0 K): -0.0059 eV per atom

The following is a PBE-GGA calculation of a geometry-optimized Pr12Hg5Ru2 structure, from the Alexandria database.

Cell and atoms, written as POSCAR:
```
Pr12Hg5Ru2
1.0
-5.947 0.611 4.436
-0.260 -9.057 -5.347
5.490 0.029 7.354
Pr Hg Ru
12 5 2
direct
0.602 0.687 0.342
0.006 0.011 0.822
0.582 0.684 0.839
0.994 0.989 0.178
0.500 0.000 0.269
0.418 0.316 0.161
0.086 0.687 0.342
0.500 0.000 0.731
0.914 0.313 0.658
0.398 0.313 0.658
0.102 0.684 0.839
0.898 0.316 0.161
0.748 0.497 0.505
0.249 0.497 0.006
0.751 0.503 0.994
0.000 0.000 0.500
0.252 0.503 0.495
0.694 0.000 0.000
0.306 0.000 0.000
```

Calculated values
* volume: 31.52 Å³/atom
* Fermi-level density of states: 23.39 states/eV per cell
* spin magnetization: 0.00 μB per cell
* ΔH_f (0 K): -0.2165 eV per atom

The following is a PBE-GGA calculation of a geometry-optimized Pr4Hg2Ru structure, from the Alexandria database.

Cell and atoms, written as POSCAR:
```
Pr4Hg2Ru
1.0
-5.561 -2.217 -1.559
1.711 -6.003 2.432
-0.096 4.007 9.958
Hg Pr Ru
4 8 2
direct
0.355 0.250 0.978
0.722 0.750 0.557
0.278 0.250 0.443
0.645 0.750 0.022
0.135 0.750 0.428
0.072 0.750 0.906
0.928 0.250 0.094
0.510 0.505 0.253
0.490 0.005 0.747
0.510 0.995 0.253
0.490 0.495 0.747
0.865 0.250 0.572
0.115 0.750 0.176
0.885 0.250 0.824
```

Calculated values
* volume: 29.65 Å³/atom
* Fermi-level density of states: 15.59 states/eV per cell
* spin magnetization: 0.00 μB per cell
* ΔH_f (0 K): -0.2359 eV per atom
* relative energy among the computed polymorphs: 90.0 meV/atom

The following is a PBE-GGA calculation of a geometry-optimized Pr3Hg2Ru structure, from the Alexandria database.

Cell and atoms, written as POSCAR:
```
Pr3Hg2Ru
1.0
5.290 0.004 0.021
2.652 7.813 0.011
-0.032 0.000 7.732
Pr Hg Ru
6 4 2
direct
0.174 0.651 0.775
0.826 0.349 0.225
0.174 0.651 0.225
0.500 0.000 0.233
0.500 0.000 0.767
0.826 0.349 0.775
0.336 0.330 0.500
0.000 0.000 0.500
0.664 0.670 0.500
0.000 0.000 0.000
0.335 0.327 0.000
0.665 0.673 0.000
```

Calculated values
* volume: 26.62 Å³/atom
* Fermi-level density of states: 9.83 states/eV per cell
* spin magnetization: 0.00 μB per cell
* ΔH_f (0 K): -0.3410 eV per atom
* relative energy among the computed polymorphs: 0.0 meV/atom